# HgMoI2O PBE+U optimized geometry
data_HgMoI2O
_cell_length_a 6.0524
_cell_length_b 6.0524
_cell_length_c 4.0940
_cell_angle_alpha 90.00
_cell_angle_beta 90.00
_cell_angle_gamma 90.00
_symmetry_space_group_name_H-M 'P 4/m m m'
_symmetry_Int_Tables_number 123
_symmetry_space_group_name_Hall '-P 4 2'
loop_
_atom_site_label
_atom_site_type_symbol
_atom_site_fract_x
_atom_site_fract_y
_atom_site_fract_z
_atom_site_occupancy
Hg1 Hg 0.0000 0.0000 0.0000 1
Mo1 Mo 0.5000 0.5000 0.5000 1
I1 I 0.0000 0.5000 0.0000 1
O1 O 0.0000 0.0000 0.5000 1
# calculated total energy	-13.00	eV per formula unit
# ΔE to the lowest computed polymorph	846	meV per atom
# crystal system	tetragonal